Entry 1:
# Tl8Hg2S3

A relaxed Tl8Hg2S3 crystal (PBE, the Alexandria database).

Summary:
The formation energy from raw total energies is -0.18 eV per atom. As for the space group: C2/m (12). Its total magnetization is 0.00 μB/f.u.

Cell and atoms, written as extended XYZ:
```
13
Lattice="8.341 -4.079 0.000 8.341 4.079 0.000 -1.622 0.000 6.697" Properties=species:S:1:pos:R:3 pbc="T T T"
Tl 0.365 0.000 5.952
Tl 5.797 2.282 3.959
Tl 9.261 2.282 2.738
Tl 6.342 0.000 0.647
Tl 8.717 0.000 6.049
Tl 5.797 -2.282 3.959
Tl 9.261 -2.282 2.738
Tl 14.694 0.000 0.745
Hg 3.501 0.000 4.116
Hg 11.558 0.000 2.580
S 8.341 2.085 0.000
S 7.529 0.000 3.348
S 8.341 -2.085 0.000
```

=====

Entry 2:
# InTeMo4

A relaxed InTeMo4 crystal (PBE, the Alexandria database).

Summary:
The formation energy from raw total energies is 0.50 eV per atom. As for the space group: F-43m (216). Its total magnetization is 0.00 μB/f.u.

Cell and atoms, written as extended XYZ:
```
6
Lattice="0.000 3.821 3.821 3.821 0.000 3.821 3.821 3.821 0.000" Properties=species:S:1:pos:R:3 pbc="T T T"
In 0.000 0.000 0.000
Te 1.910 1.910 1.910
Mo 4.775 2.866 2.866
Mo 2.866 4.775 2.866
Mo 2.866 2.866 4.775
Mo 4.775 4.775 4.775
```

=====

Entry 3:
# ScSi2Au

A relaxed ScSi2Au crystal (PBE, the Alexandria database).

Summary:
The formation energy from raw total energies is -0.36 eV per atom. As for the space group: Pmmm (47). Its total magnetization is 0.00 μB/f.u.

Cell and atoms, written as extended XYZ:
```
4
Lattice="3.831 0.000 0.000 0.000 4.000 0.000 0.000 0.000 4.335" Properties=species:S:1:pos:R:3 pbc="T T T"
Sc 0.000 0.000 0.000
Si 1.915 0.000 2.168
Si 1.915 2.000 0.000
Au 0.000 2.000 2.168
```

=====

Entry 4:
# LuPuCuSn

A relaxed LuPuCuSn crystal (PBE, the Alexandria database).

Summary:
The calculation puts the energy at -6.97 eV/atom. As for the space group: F-43m (216). Its total magnetization is 6.20 μB/f.u.

Cell and atoms, written as extended XYZ:
```
4
Lattice="0.000 3.621 3.621 3.621 0.000 3.621 3.621 3.621 0.000" Properties=species:S:1:pos:R:3 pbc="T T T"
Lu 0.000 0.000 0.000
Pu 3.621 3.621 3.621
Cu 5.432 5.432 5.432
Sn 1.811 1.811 1.811
```

=====

Entry 5:
# CuGeAs

A relaxed CuGeAs crystal (PBE, the Alexandria database).

Summary:
For the excess energy over the best structure of this formula in the dataset, the calculation gives 0.00 eV/f.u. As for the space group: F-43m (216). Its total magnetization is 0.00 μB/f.u.

Cell and atoms, written as extended XYZ:
```
3
Lattice="0.000 3.008 3.008 3.008 0.000 3.008 3.008 3.008 0.000" Properties=species:S:1:pos:R:3 pbc="T T T"
Cu 0.000 0.000 0.000
Ge 1.504 1.504 1.504
As 4.512 4.512 4.512
```

=====

Entry 6:
# CeTh2

A relaxed CeTh2 crystal (PBE, the Alexandria database).

Summary:
For the excess energy over the best structure of this formula in the dataset, the calculation gives 0.01 eV/f.u. As for the space group: I4/mmm (139). Its total magnetization is 0.00 μB/f.u.

Cell and atoms, written as extended XYZ:
```
3
Lattice="-1.766 1.766 7.326 1.766 -1.766 7.326 1.766 1.766 -7.326" Properties=species:S:1:pos:R:3 pbc="T T T"
Ce 0.000 0.000 0.000
Th 0.000 0.000 4.901
Th 0.000 0.000 9.750
```

=====

Entry 7:
# Nd2IO2

A relaxed Nd2IO2 crystal (PBE, the Alexandria database).

Summary:
The formation energy from raw total energies is -2.14 eV per atom. For the excess energy over the best structure of this formula in the dataset, the calculation gives 2.53 eV/f.u. As for the space group: P4/mmm (123). Its total magnetization is 0.00 μB/f.u.

Cell and atoms, written as extended XYZ:
```
5
Lattice="3.960 0.000 0.000 0.000 3.960 0.000 0.000 0.000 6.917" Properties=species:S:1:pos:R:3 pbc="T T T"
Nd 0.000 0.000 1.390
Nd 0.000 0.000 5.526
I 1.980 1.980 3.458
O 0.000 1.980 0.000
O 1.980 0.000 0.000
```

=====

Entry 8:
# Na3ZrCr

A relaxed Na3ZrCr crystal (PBE, the Alexandria database).

Summary:
The calculation puts the energy at -3.10 eV/atom. As for the space group: Pm-3m (221). Its total magnetization is 1.85 μB/f.u.

Cell and atoms, written as extended XYZ:
```
5
Lattice="5.412 0.000 0.000 0.000 5.412 0.000 0.000 0.000 5.412" Properties=species:S:1:pos:R:3 pbc="T T T"
Na 0.000 0.000 2.706
Na 0.000 2.706 0.000
Na 2.706 0.000 0.000
Zr 2.706 2.706 2.706
Cr 0.000 0.000 0.000
```

=====

Entry 9:
# InSi2PdPt

A relaxed InSi2PdPt crystal (PBE, the Alexandria database).

Summary:
The formation energy from raw total energies is 0.22 eV per atom. For the excess energy over the best structure of this formula in the dataset, the calculation gives 0.00 eV/f.u. As for the space group: P4/mmm (123). Its total magnetization is 0.00 μB/f.u.

Cell and atoms, written as extended XYZ:
```
5
Lattice="4.548 0.000 0.000 0.000 4.548 0.000 0.000 0.000 5.331" Properties=species:S:1:pos:R:3 pbc="T T T"
In 0.000 0.000 0.000
Si 0.000 2.274 2.666
Si 2.274 0.000 2.666
Pd 2.274 2.274 0.000
Pt 2.274 2.274 2.666
```

=====

Entry 10:
# RbPbSeF2

A relaxed RbPbSeF2 crystal (PBE, the Alexandria database).

Summary:
The formation energy from raw total energies is -0.78 eV per atom. As for the space group: P4/mmm (123). Its total magnetization is 0.00 μB/f.u.

Cell and atoms, written as extended XYZ:
```
5
Lattice="5.369 0.000 0.000 0.000 5.369 0.000 0.000 0.000 5.249" Properties=species:S:1:pos:R:3 pbc="T T T"
Rb 0.000 0.000 0.000
Pb 2.685 2.685 0.000
Se 2.685 2.685 2.624
F 0.000 2.685 2.624
F 2.685 0.000 2.624
```

=====

Entry 11:
# Nd3Sn3Au

A relaxed Nd3Sn3Au crystal (PBE, the Alexandria database).

Summary:
The calculation puts the energy at -5.01 eV/atom. As for the space group: C2/m (12). Its total magnetization is 0.00 μB/f.u.

Cell and atoms, written as extended XYZ:
```
14
Lattice="5.803 -2.337 0.000 5.803 2.337 0.000 -5.115 0.000 14.431" Properties=species:S:1:pos:R:3 pbc="T T T"
Nd -1.619 0.000 5.494
Nd -3.558 0.000 13.325
Nd 1.568 0.000 3.299
Nd 4.922 0.000 11.132
Nd 10.048 0.000 1.106
Nd 8.109 0.000 8.937
Sn 1.855 0.000 6.581
Sn -0.372 0.000 13.341
Sn 1.665 0.000 11.112
Sn 4.826 0.000 3.319
Sn 6.862 0.000 1.090
Sn 4.635 0.000 7.851
Au -0.049 0.000 8.858
Au 6.539 0.000 5.573
```

=====

Entry 12:
# PmLu2Zr

A relaxed PmLu2Zr crystal (PBE, the Alexandria database).

Summary:
For the excess energy over the best structure of this formula in the dataset, the calculation gives 0.31 eV/f.u. As for the space group: P4/mmm (123). Its total magnetization is 0.01 μB/f.u.

Cell and atoms, written as extended XYZ:
```
4
Lattice="3.945 0.000 0.000 0.000 3.945 0.000 0.000 0.000 7.435" Properties=species:S:1:pos:R:3 pbc="T T T"
Pm 0.000 0.000 0.000
Lu 1.972 1.972 2.084
Lu 1.972 1.972 5.351
Zr 0.000 0.000 3.717
```

=====

Entry 13:
# TlHPb3

A relaxed TlHPb3 crystal (PBE, the Alexandria database).

Summary:
For the excess energy over the best structure of this formula in the dataset, the calculation gives 0.00 eV/f.u. As for the space group: Pm-3m (221). Its total magnetization is 0.00 μB/f.u.

Cell and atoms, written as extended XYZ:
```
5
Lattice="5.058 0.000 0.000 0.000 5.058 0.000 0.000 0.000 5.058" Properties=species:S:1:pos:R:3 pbc="T T T"
Tl 0.000 0.000 0.000
H 2.529 2.529 2.529
Pb 0.000 2.529 2.529
Pb 2.529 0.000 2.529
Pb 2.529 2.529 0.000
```

=====

Entry 14:
# TlGa2Hg

A relaxed TlGa2Hg crystal (PBE, the Alexandria database).

Summary:
For the excess energy over the best structure of this formula in the dataset, the calculation gives 0.36 eV/f.u. As for the space group: Cm (8). Its total magnetization is 0.00 μB/f.u.

Cell and atoms, written as extended XYZ:
```
4
Lattice="3.327 -1.620 0.000 3.327 1.620 0.000 -2.697 0.000 9.052" Properties=species:S:1:pos:R:3 pbc="T T T"
Tl 0.000 0.000 0.000
Ga 1.983 0.000 6.623
Ga 4.656 0.000 2.414
Hg -0.002 0.000 4.525
```

=====

Entry 15:
# TlGaCo

A relaxed TlGaCo crystal (PBE, the Alexandria database).

Summary:
For the excess energy over the best structure of this formula in the dataset, the calculation gives 0.19 eV/f.u. As for the space group: P1 (1). Its total magnetization is 0.07 μB/f.u.

Cell and atoms, written as extended XYZ:
```
6
Lattice="2.997 0.000 0.000 0.000 3.034 0.000 0.004 1.351 11.893" Properties=species:S:1:pos:R:3 pbc="T T T"
Tl 0.000 0.000 0.000
Tl 0.014 2.880 3.182
Ga 0.013 2.891 9.188
Ga 0.013 2.890 6.404
Co 1.511 1.375 7.861
Co 1.511 1.373 5.139
```

=====

Entry 16:
# Li5Ag3

A relaxed Li5Ag3 crystal (PBE, the Alexandria database).

Summary:
For the excess energy over the best structure of this formula in the dataset, the calculation gives 0.06 eV/f.u. As for the space group: Cmmm (65). Its total magnetization is 0.00 μB/f.u.

Cell and atoms, written as extended XYZ:
```
8
Lattice="3.501 -4.332 0.000 3.501 4.332 0.000 0.000 0.000 4.310" Properties=species:S:1:pos:R:3 pbc="T T T"
Li 0.000 0.000 0.000
Li 1.750 2.166 0.000
Li 1.815 0.000 2.155
Li 1.750 -2.166 0.000
Li 5.187 0.000 2.155
Ag 3.501 2.209 2.155
Ag 3.501 0.000 0.000
Ag 3.501 -2.209 2.155
```

=====

Entry 17:
# Na2HoPtO4

A relaxed Na2HoPtO4 crystal (PBE, the Alexandria database).

Summary:
The formation energy from raw total energies is -1.77 eV per atom. As for the space group: P2/m (10). Its total magnetization is 1.01 μB/f.u.

Cell and atoms, written as extended XYZ:
```
8
Lattice="5.692 0.000 0.000 0.000 3.271 0.000 -2.262 0.000 5.647" Properties=species:S:1:pos:R:3 pbc="T T T"
Na 0.000 0.000 0.000
Na 2.846 1.635 0.000
Ho -1.131 1.635 2.823
Pt 1.715 0.000 2.823
O -0.453 0.000 4.196
O 0.950 1.635 1.733
O 2.480 1.635 3.914
O 3.883 0.000 1.451
```

=====

Entry 18:
# RbYI2N

A relaxed RbYI2N crystal (PBE, the Alexandria database).

Summary:
The formation energy from raw total energies is -0.81 eV per atom. For the excess energy over the best structure of this formula in the dataset, the calculation gives 0.00 eV/f.u. As for the space group: P4/mmm (123). Its total magnetization is 0.00 μB/f.u.

Cell and atoms, written as extended XYZ:
```
5
Lattice="6.393 0.000 0.000 0.000 6.393 0.000 0.000 0.000 4.218" Properties=species:S:1:pos:R:3 pbc="T T T"
Rb 0.000 0.000 0.000
Y 3.196 3.196 2.109
I 0.000 3.196 2.109
I 3.196 0.000 2.109
N 3.196 3.196 0.000
```

=====

Entry 19:
# KCd3C

A relaxed KCd3C crystal (PBE, the Alexandria database).

Summary:
For the excess energy over the best structure of this formula in the dataset, the calculation gives 4.84 eV/f.u. As for the space group: Pm-3m (221). Its total magnetization is 2.80 μB/f.u.

Cell and atoms, written as extended XYZ:
```
5
Lattice="6.861 0.000 0.000 0.000 6.861 0.000 0.000 0.000 6.861" Properties=species:S:1:pos:R:3 pbc="T T T"
K 0.000 0.000 0.000
Cd 0.000 0.000 3.430
Cd 0.000 3.430 0.000
Cd 3.430 0.000 0.000
C 3.430 3.430 3.430
```

=====

Entry 20:
# Zr2TiGa

A relaxed Zr2TiGa crystal (PBE, the Alexandria database).

Summary:
The calculation puts the energy at -7.12 eV/atom. As for the space group: R3m (160). Its total magnetization is 0.00 μB/f.u.

Cell and atoms, written as extended XYZ:
```
4
Lattice="1.576 0.910 9.470 -1.576 0.910 9.470 0.000 -1.820 9.470" Properties=species:S:1:pos:R:3 pbc="T T T"
Zr 0.000 0.000 0.000
Zr 0.000 0.000 4.753
Ti 0.000 0.000 21.329
Ga 0.000 0.000 16.589
```

=====

Entry 21:
# ScC2

A relaxed ScC2 crystal (PBE, the Alexandria database).

Summary:
The calculation puts the energy at -7.21 eV/atom. As for the space group: P4/nmm (129). Its total magnetization is 0.00 μB/f.u.

Cell and atoms, written as extended XYZ:
```
6
Lattice="3.299 0.000 0.000 0.000 3.299 0.000 0.000 0.000 6.161" Properties=species:S:1:pos:R:3 pbc="T T T"
Sc 0.825 0.825 1.323
Sc 2.474 2.474 4.838
C 0.825 0.825 3.524
C 0.825 2.474 3.081
C 2.474 0.825 3.081
C 2.474 2.474 2.637
```